LaPaRh4 | GGA-PBE | relaxed

The value obtained for the formation enthalpy at 0 K is -0.6476 eV/atom. The magnetic moment comes out at 0.000 μB/atom. The energy is -7.952 eV/atom.

It has space group F-43m (No. 216), with a = 7.601 Å, b = 7.601 Å, c = 7.601 Å, α = 90.00°, β = 90.00° and γ = 90.00°. The asymmetric unit holds La at (0.000, 0.000, 0.000), Pa at (0.250, 0.250, 0.750) and Rh at (0.125, 0.125, 0.375).

***

La2PaRh | GGA-PBE | relaxed

The value obtained for the formation enthalpy at 0 K is 0.1256 eV/atom. The magnetic moment comes out at 0.000 μB/atom. The energy is -6.550 eV/atom.

It has space group R-3m (No. 166, hexagonal axes), with a = 3.3273 Å, b = 3.3273 Å, c = 32.4042 Å, α = 90.00°, β = 90.00° and γ = 120.00°. The asymmetric unit holds La at (0.0000, 0.0000, 0.0979), Pa at (0.0000, 0.0000, 0.0000) and Rh at (0.0000, 0.0000, 0.5000).

***

La2PaRh2 | GGA-PBE | relaxed

The value obtained for the formation enthalpy at 0 K is -0.6795 eV/atom. The magnetic moment comes out at 0.000 μB/atom. The energy is -7.490 eV/atom.

It has space group C2/c (No. 15), with a = 11.275 Å, b = 6.478 Å, c = 7.267 Å, α = 90.00°, β = 100.68° and γ = 90.00°. The asymmetric unit holds La at (0.151, 0.111, 0.143), Pa at (0.000, 0.420, 0.750) and Rh at (0.141, 0.356, 0.514).